Material: LiTb3U3S8
Method: DFT, PBE
State: optimized geometry

abc: 7.8316 7.8316 7.8316
angles: 58.91 58.91 58.91
Closest atoms and distances in Å follow each position.
Fractional positions:
Li: 0.0000 0.0000 0.0000  6 S 2.70
Tb: 0.0000 0.0000 0.5000  6 S 2.74-2.76
Tb: 0.0000 0.5000 0.0000  6 S 2.74-2.76
Tb: 0.5000 0.0000 0.0000  6 S 2.74-2.76
U: 0.0000 0.5000 0.5000  6 S 2.73-2.75
U: 0.5000 0.0000 0.5000  6 S 2.73-2.75
U: 0.5000 0.5000 0.0000  6 S 2.73-2.75
S: 0.2462 0.2462 0.7516  1 Li 2.70, 2 U 2.73, 2 Tb 2.76
S: 0.2462 0.7516 0.2462  1 Li 2.70, 2 U 2.73, 2 Tb 2.76
S: 0.2484 0.7538 0.7538  1 Li 2.70, 2 U 2.73, 2 Tb 2.76
S: 0.2497 0.2497 0.2497  3 Tb 2.74, 3 U 2.75
S: 0.7503 0.7503 0.7503  3 Tb 2.74, 3 U 2.75
S: 0.7516 0.2462 0.2462  1 Li 2.70, 2 U 2.73, 2 Tb 2.76
S: 0.7538 0.2484 0.7538  1 Li 2.70, 2 U 2.73, 2 Tb 2.76
S: 0.7538 0.7538 0.2484  1 Li 2.70, 2 U 2.73, 2 Tb 2.76

Summary:
DOS(E_F) (states/eV per atom): 1.1300
Symmetry: No. 166
ΔE_f (raw) (kJ/mol of formula units): -2413